DFT (PBE) results for an optimized crystal structure of SiGe.

Unit cell a=9.659 b=9.659 c=4.019 alpha=90.00 beta=90.00 gamma=120.00
Positions (direct):
1 Si 0.666 0.080 0.250
2 Ge 0.412 0.084 0.250
3 Si 0.414 0.334 0.250
4 Si 0.334 0.920 0.750
5 Si 0.586 0.666 0.750
6 Si 0.920 0.586 0.250
7 Ge 0.916 0.328 0.250
8 Si 0.080 0.414 0.750
9 Ge 0.328 0.412 0.750
10 Ge 0.672 0.588 0.250
11 Ge 0.084 0.672 0.750
12 Ge 0.588 0.916 0.750

Results
**SG**: P6_3/m

---

DFT (PBE) results for an optimized crystal structure of SiGe.

Unit cell a=10.306 b=10.306 c=3.959 alpha=90.00 beta=90.00 gamma=90.00
Positions (direct):
1 Ge 0.714 0.115 0.500
2 Si 0.119 0.714 0.500
3 Si 0.881 0.286 0.500
4 Ge 0.615 0.786 0.000
5 Si 0.381 0.786 0.000
6 Si 0.214 0.381 0.000
7 Ge 0.786 0.385 0.000
8 Ge 0.214 0.615 0.000
9 Ge 0.115 0.286 0.500
10 Ge 0.885 0.714 0.500
11 Si 0.286 0.119 0.500
12 Ge 0.286 0.885 0.500
13 Si 0.786 0.619 0.000
14 Si 0.619 0.214 0.000
15 Si 0.714 0.881 0.500
16 Ge 0.385 0.214 0.000

Results
**SG**: I4/m

---

DFT (PBE) results for an optimized crystal structure of SiGe.

Unit cell a=5.103 b=10.027 c=2.742 alpha=90.00 beta=90.00 gamma=90.00
Positions (direct):
1 Si 0.500 0.622 0.927
2 Ge 0.500 0.134 0.220
3 Si 0.000 0.878 0.427
4 Si 0.000 0.122 0.427
5 Ge 0.000 0.366 0.720
6 Ge 0.500 0.866 0.220
7 Ge 0.000 0.634 0.720
8 Si 0.500 0.378 0.927

Results
**SG**: Imm2

---

DFT (PBE) results for an optimized crystal structure of SiGe.

Unit cell a=3.955 b=3.962 c=5.594 alpha=90.00 beta=90.00 gamma=90.00
Positions (direct):
1 Si 0.750 0.000 0.119
2 Si 0.250 0.000 0.881
3 Ge 0.750 0.500 0.368
4 Ge 0.250 0.500 0.632

Results
**SG**: Pmma

---

DFT (PBE) results for an optimized crystal structure of SiGe.

Unit cell a=3.956 b=3.956 c=3.956 alpha=60.00 beta=60.00 gamma=60.00
Positions (direct):
1 Si 0.000 0.000 0.000
2 Ge 0.250 0.250 0.250

Results
**SG**: F-43m

---

DFT (PBE) results for an optimized crystal structure of Si4Ge.

Unit cell a=4.740 b=4.740 c=4.740 alpha=90.00 beta=90.00 gamma=90.00
Positions (direct):
1 Si 0.000 0.000 0.000
2 Si 0.000 0.500 0.500
3 Ge 0.500 0.500 0.500
4 Si 0.500 0.500 0.000
5 Si 0.500 0.000 0.500

Results
**SG**: Pm-3m

---

| no. | uncorrected formation energy (meV/atom) | uncorrected energy (eV/cell) |
| --- | --- | --- |
| 1 | 228 | -57.51 |
| 2 | 239 | -76.50 |
| 3 | 331 | -37.52 |
| 4 | 16 | -20.01 |
| 5 | 24 | -9.99 |
| 6 | 1250 | -20.06 |